DFT (GGA-PBE) results for a relaxed CoPt2Br crystal.

## Properties
Calculated density ... 12.630 g cm⁻³
Distance to the lowest polymorph of the same formula ... 0.05 eV per formula unit

Cell: 3.4989 2.9144 6.8206 Å, 89.98 90.00 90.00°
Closest atoms and distances in Å follow each position.
Sites, in units of the cell vectors:
Br 0.0000 0.5002 0.5163  2 Co 2.63, 2 Pt 2.76, 2 Br 2.91
Co 0.5000 0.5000 0.8037  5 Pt 2.57-2.72, 2 Br 2.63
Pt 0.0000 0.9999 0.9773  4 Co 2.57, 4 Pt 2.75
Pt 0.5000 0.4998 0.2028  1 Co 2.72, 6 Pt 2.75-2.91, 2 Br 2.76


DFT (GGA-PBE) results for a relaxed Ce2Si5Ni crystal.

## Properties
Calculated density ... 5.358 g cm⁻³

Cell: 6.0209 6.0209 6.0209 Å, 86.04 122.31 122.31°
Closest atoms and distances in Å follow each position.
Sites, in units of the cell vectors:
Ce 0.5000 0.2301 0.7301  10 Si 2.95-3.08
Ce 0.5000 0.7301 0.2301  10 Si 2.95-3.08
Si 0.4307 0.7044 0.7044  1 Ni 2.35, 3 Si 2.50-2.51
Si 0.0000 0.7044 0.2736  1 Ni 2.35, 3 Si 2.50-2.51
Si 0.0000 0.2736 0.7044  1 Ni 2.35, 3 Si 2.50-2.51
Si 0.5693 0.2736 0.2736  1 Ni 2.35, 3 Si 2.50-2.51
Si 0.0000 0.2862 0.2862  1 Ni 2.35, 4 Si 2.51
Ni 0.0000 0.0197 0.0197  5 Si 2.35


DFT (GGA-PBE) results for a relaxed K2HoAlO4 crystal.

## Properties
Calculated density ... 3.890 g cm⁻³

Cell: 5.9047 5.9047 5.9047 Å, 87.78 121.29 121.29°
Closest atoms and distances in Å follow each position.
Sites, in units of the cell vectors:
K 0.5000 0.7500 0.2500  4 O 2.72
K 0.0000 0.0000 0.0000  4 O 2.83
Ho 0.5000 0.2500 0.7500  4 O 2.13
Al 0.0000 0.5000 0.5000  4 O 1.79
O 0.6427 0.3933 0.4794  1 Al 1.79
O 0.0861 0.2494 0.6067  1 Al 1.79
O 0.9139 0.5206 0.1633  1 Al 1.79
O 0.3573 0.8367 0.7506  1 Al 1.79


DFT (GGA-PBE) results for a relaxed ZnFeAg2B crystal.

## Properties
Calculated density ... 7.533 g cm⁻³
ΔE_f ... 3.4 eV per formula unit

Cell: 4.3540 4.0441 4.3540 Å, 90.00 90.00 90.00°
Closest atoms and distances in Å follow each position.
Sites, in units of the cell vectors:
Zn 0.0000 0.5000 0.0000  2 B 2.02
B 0.0000 0.0000 0.0000  2 Zn 2.02, 4 Ag 2.18
Fe 0.5000 0.5000 0.5000  8 Ag 2.97, 4 Zn 3.08
Ag 0.0000 0.0000 0.5000  2 B 2.18
Ag 0.5000 0.0000 0.0000  2 B 2.18


Q: Which magnetization values were calculated for the entries above? A: 2.332; 0.001; 0.000; 3.210, in μB per formula unit.
Q: Which raw total energy values were calculated for the entries above? A: -19.64; -48.74; -51.08; -18.69, in eV per cell.